Record 1
Below is a geometry-optimized ZrHgSe2 structure, with properties calculated at the PBE level.

Summary:
Energy above the lowest structure with this stoichiometry ... 644 meV per atom
Energy ... -17.2 eV/f.u.
ΔE_f (raw) ... -0.347 eV/atom
ρ ... 6.86 g/cm3

Cell: 11.3122 11.3122 4.7616 Å, 90.00 90.00 159.06°
With the nearest neighbours (Å) after each atom.
Atoms (fractional coordinates):
Se: 0.2027 0.7973 0.2500  1 Zr 2.47
Se: 0.7973 0.2027 0.7500  1 Zr 2.47
Se: 0.9603 0.0397 0.2500  3 Zr 2.65-2.92, 2 Se 2.96
Se: 0.0397 0.9603 0.7500  3 Zr 2.65-2.92, 2 Se 2.96
Hg: 0.3487 0.6513 0.2500  7 Se 3.22-3.35, 4 Zr 3.41
Hg: 0.6513 0.3487 0.7500  7 Se 3.22-3.35, 4 Zr 3.41
Zr: 0.0918 0.9082 0.2500  3 Se 2.47-2.65
Zr: 0.9082 0.0918 0.7500  3 Se 2.47-2.65

---

Record 2
Below is a geometry-optimized MgCd2Fe structure, with properties calculated at the PBE level.

Summary:
Energy ... -11.0 eV/f.u.
Energy relative to the elements ... 214 meV/atom
ρ ... 6.93 g/cm3

Cell: 5.0990 5.0990 5.0990 Å, 131.38 131.38 71.21°
With the nearest neighbours (Å) after each atom.
Atoms (fractional coordinates):
Cd: 0.0000 0.0000 0.0000  4 Mg 2.95, 4 Fe 2.95, 4 Cd 2.97
Cd: 0.5000 0.5000 0.0000  4 Fe 2.95, 4 Mg 2.95, 4 Cd 2.97
Fe: 0.2500 0.7500 0.5000  8 Cd 2.95, 4 Mg 2.97
Mg: 0.7500 0.2500 0.5000  8 Cd 2.95, 4 Fe 2.97

---

Record 3
Below is a geometry-optimized CePuCdSn structure, with properties calculated at the PBE level.

Summary:
Energy above the lowest structure with this stoichiometry ... 159 meV per atom
Energy ... -25.6 eV/f.u.
Energy relative to the elements ... -104 meV/atom
ρ ... 9.84 g/cm3

Cell: 4.9181 4.9181 5.7135 Å, 64.51 64.51 60.00°
With the nearest neighbours (Å) after each atom.
Atoms (fractional coordinates):
Ce: 0.6762 0.6762 0.9713  3 Pu 2.92, 3 Cd 3.24
Pu: 0.9628 0.9628 0.1115  3 Ce 2.92, 3 Sn 3.26
Cd: 0.4482 0.4482 0.6553  3 Sn 3.05, 4 Ce 3.24-3.39
Sn: 0.1891 0.1891 0.4327  3 Cd 3.05, 4 Pu 3.26-3.37

---

Record 4
Below is a geometry-optimized CrIrBr2 structure, with properties calculated at the PBE level.

Summary:
Energy above the lowest structure with this stoichiometry ... 748 meV per atom
Energy ... -18.8 eV/f.u.
ΔE_f (raw) ... 0.764 eV/atom
ρ ... 8.19 g/cm3

Cell: 6.4465 6.4465 6.4465 Å, 146.36 146.36 48.31°
With the nearest neighbours (Å) after each atom.
Atoms (fractional coordinates):
Br: 0.0000 0.0000 0.0000  4 Cr 2.64
Br: 0.2500 0.7500 0.5000  4 Ir 2.64
Cr: 0.5000 0.5000 0.0000  4 Br 2.64
Ir: 0.7500 0.2500 0.5000  4 Br 2.64

---

Record 5
Below is a geometry-optimized PrHo5Hg2 structure, with properties calculated at the PBE level.

Summary:
Energy ... -29.7 eV/f.u.
Energy relative to the elements ... -173 meV/atom
ρ ... 9.64 g/cm3

Cell: 3.7353 8.2357 8.2357 Å, 76.05 76.89 76.89°
With the nearest neighbours (Å) after each atom.
Atoms (fractional coordinates):
Pr: 0.0000 0.0000 0.0000  4 Hg 3.53, 2 Pr 3.74, 8 Ho 3.77
Ho: 0.0000 0.5000 0.5000  2 Hg 3.21, 8 Ho 3.40
Ho: 0.6371 0.5866 0.1392  3 Hg 3.09-3.30, 5 Ho 3.40-3.41
Ho: 0.3629 0.4134 0.8608  3 Hg 3.09-3.30, 5 Ho 3.40-3.41
Ho: 0.3629 0.8608 0.4134  3 Hg 3.09-3.30, 5 Ho 3.40-3.41
Ho: 0.6371 0.1392 0.5866  3 Hg 3.09-3.30, 5 Ho 3.40-3.41
Hg: 0.7414 0.7586 0.7586  7 Ho 3.09-3.30
Hg: 0.2586 0.2414 0.2414  7 Ho 3.09-3.30

---

Record 6
Below is a geometry-optimized RbFeSb2Te structure, with properties calculated at the PBE level.

Summary:
Energy ... -20.4 eV/f.u.
ΔE_f (raw) ... 0.080 eV/atom
ρ ... 5.82 g/cm3

Cell: 4.9248 4.9248 6.0237 Å, 90.00 90.00 90.00°
With the nearest neighbours (Å) after each atom.
Atoms (fractional coordinates):
Sb: 0.0000 0.5000 0.0000  2 Fe 2.46
Sb: 0.5000 0.0000 0.0000  2 Fe 2.46
Te: 0.0000 0.0000 0.5000  2 Fe 3.01
Fe: 0.0000 0.0000 0.0000  4 Sb 2.46
Rb: 0.5000 0.5000 0.5000  4 Te 3.48, 8 Sb 3.89

---

Which of these has the lowest energy? PrHo5Hg2

---

Which value of energy does entry 6 give? -20.4 eV/f.u.

---

The lowest energy belongs to which entry? PrHo5Hg2

---

What is the formula in the sixth record? RbFeSb2Te